Entry 1:
Compound: AgMoIr2
Source: the Alexandria database
Functional: PBE-GGA
Structure: relaxed

CIF file:
```
data_AgMoIr2
_chemical_formula_sum 'Ag2 Mo2 Ir4'
_space_group_name_H-M_alt 'C m m m'
_space_group_IT_number 65
_space_group_name_Hall '-C 2 2'
_cell_length_a 5.655
_cell_length_b 7.799
_cell_length_c 2.798
_cell_angle_alpha 90.00
_cell_angle_beta 90.00
_cell_angle_gamma 90.00
loop_
_atom_site_label
_atom_site_fract_x
_atom_site_fract_y
_atom_site_fract_z
Ag1 0.000 0.000 0.000
Mo1 0.000 0.500 0.000
Ir1 0.250 0.250 0.500
```

Properties
- D(E_F) (states/eV/atom) = 1.36
- ΔH_f (0 K) (meV per atom) = 260
- electronic total energy (eV per formula unit) = -30.36
- distance to the lowest polymorph of the same formula (eV per atom) = 0.250

Entry 2:
Compound: LiPd3Pt
Source: the Alexandria database
Functional: PBE-GGA
Structure: relaxed

CIF file:
```
data_LiPd3Pt
_chemical_formula_sum 'Li2 Pd6 Pt2'
_space_group_name_H-M_alt 'P -1'
_space_group_IT_number 2
_cell_length_a 4.905
_cell_length_b 4.940
_cell_length_c 7.237
_cell_angle_alpha 74.98
_cell_angle_beta 71.66
_cell_angle_gamma 65.24
loop_
_space_group_symop_operation_xyz
'x,y,z'
'-x,-y,-z'
loop_
_atom_site_label
_atom_site_fract_x
_atom_site_fract_y
_atom_site_fract_z
Li1 0.020 0.111 0.312
Pd1 0.059 0.588 0.307
Pd2 0.356 0.361 0.927
Pd3 0.468 0.928 0.694
Pt1 0.000 0.000 0.000
Pt2 0.500 0.500 0.500
```

Properties
- D(E_F) (states/eV/atom) = 1.34
- ΔH_f (0 K) (meV per atom) = -154
- electronic total energy (eV per formula unit) = -24.30
- distance to the lowest polymorph of the same formula (eV per atom) = 0.000

Entry 3:
Compound: K2HfMgTe4
Source: the Alexandria database
Functional: PBE-GGA
Structure: relaxed

CIF file:
```
data_K2HfMgTe4
_chemical_formula_sum 'K2 Hf1 Mg1 Te4'
_space_group_name_H-M_alt 'P 1 2/m 1'
_space_group_IT_number 10
_cell_length_a 7.556
_cell_length_b 4.293
_cell_length_c 8.537
_cell_angle_alpha 90.00
_cell_angle_beta 107.11
_cell_angle_gamma 90.00
loop_
_space_group_symop_operation_xyz
'x,y,z'
'-x,-y,-z'
'-x,y,-z'
'x,-y,z'
loop_
_atom_site_label
_atom_site_fract_x
_atom_site_fract_y
_atom_site_fract_z
K1 0.000 0.000 0.000
K2 0.500 0.500 0.000
Hf1 0.000 0.500 0.500
Mg1 0.500 0.000 0.500
Te1 0.223 0.000 0.699
Te2 0.261 0.500 0.307
```

Properties
- D(E_F) (states/eV/atom) = 0.00
- formation energy from raw total energies (eV per atom) = -0.944
- electronic total energy (eV per formula unit) = -33.86

Entry 4:
Compound: Cs4Tb3InSe8
Source: the Alexandria database
Functional: PBE-GGA
Structure: relaxed

CIF file:
```
data_Cs4Tb3InSe8
_chemical_formula_sum 'Cs12 Tb9 In3 Se24'
_space_group_name_H-M_alt 'R -3 m'
_space_group_IT_number 166
_space_group_name_Hall '-R 3 2"'
_cell_length_a 8.5338
_cell_length_b 8.5338
_cell_length_c 25.1454
_cell_angle_alpha 90.00
_cell_angle_beta 90.00
_cell_angle_gamma 120.00
loop_
_atom_site_label
_atom_site_fract_x
_atom_site_fract_y
_atom_site_fract_z
Cs1 0.0000 0.0000 0.0000
Cs2 0.0000 0.5000 0.0000
Tb1 0.0000 0.5000 0.5000
In1 0.0000 0.0000 0.5000
Se1 0.0000 0.0000 0.2288
Se2 0.0050 0.5025 0.2281
```

Properties
- formation energy from raw total energies (eV per atom) = -1.482
- electronic total energy (eV per formula unit) = -71.63

Entry 5:
Compound: TbPm2SmDy
Source: the Alexandria database
Functional: PBE-GGA
Structure: relaxed

CIF file:
```
data_TbPm2SmDy
_chemical_formula_sum 'Tb4 Pm8 Sm4 Dy4'
_space_group_name_H-M_alt 'C m c m'
_space_group_IT_number 63
_space_group_name_Hall '-C 2c 2'
_cell_length_a 8.425
_cell_length_b 11.651
_cell_length_c 7.237
_cell_angle_alpha 90.00
_cell_angle_beta 90.00
_cell_angle_gamma 90.00
loop_
_atom_site_label
_atom_site_fract_x
_atom_site_fract_y
_atom_site_fract_z
Tb1 0.000 0.012 0.250
Pm1 0.191 0.500 0.000
Sm1 0.000 0.277 0.250
Dy1 0.000 0.266 0.750
```

Properties
- D(E_F) (states/eV/atom) = 1.58
- ΔH_f (0 K) (meV per atom) = 402
- electronic total energy (eV per formula unit) = -21.44

Entry 6:
Compound: Be2Ag3F8
Source: the Alexandria database
Functional: PBE-GGA
Structure: relaxed

CIF file:
```
data_Be2Ag3F8
_chemical_formula_sum 'Be6 Ag9 F24'
_space_group_name_H-M_alt 'R -3 m'
_space_group_IT_number 166
_space_group_name_Hall '-R 3 2"'
_cell_length_a 5.4193
_cell_length_b 5.4193
_cell_length_c 18.7270
_cell_angle_alpha 90.00
_cell_angle_beta 90.00
_cell_angle_gamma 120.00
loop_
_atom_site_label
_atom_site_fract_x
_atom_site_fract_y
_atom_site_fract_z
Be1 0.0000 0.0000 0.1015
Ag1 0.0000 0.0000 0.3034
Ag2 0.0000 0.0000 0.5000
F1 0.0000 0.0000 0.1833
F2 0.0161 0.5081 0.7400
```

Properties
- D(E_F) (states/eV/atom) = 1.02
- formation energy from raw total energies (eV per atom) = -2.036
- electronic total energy (eV per formula unit) = -57.45

Entry 7:
Compound: Na5Tl6Bi
Source: the Alexandria database
Functional: PBE-GGA
Structure: relaxed

CIF file:
```
data_Na5Tl6Bi
_chemical_formula_sum 'Na5 Tl6 Bi1'
_space_group_name_H-M_alt 'P 1 2/m 1'
_space_group_IT_number 10
_cell_length_a 4.745
_cell_length_b 9.654
_cell_length_c 7.936
_cell_angle_alpha 90.00
_cell_angle_beta 106.63
_cell_angle_gamma 90.00
loop_
_space_group_symop_operation_xyz
'x,y,z'
'-x,-y,-z'
'-x,y,-z'
'x,-y,z'
loop_
_atom_site_label
_atom_site_fract_x
_atom_site_fract_y
_atom_site_fract_z
Na1 0.000 0.000 0.000
Na2 0.332 0.000 0.668
Na3 0.338 0.500 0.678
Tl1 0.171 0.252 0.336
Tl2 0.500 0.247 0.000
Bi1 0.000 0.500 0.000
```

Properties
- D(E_F) (states/eV/atom) = 0.46
- ΔH_f (0 K) (meV per atom) = -126
- electronic total energy (eV per formula unit) = -26.18

Entry 8:
Compound: CaPm2ScAs4
Source: the Alexandria database
Functional: PBE-GGA
Structure: relaxed

CIF file:
```
data_CaPm2ScAs4
_chemical_formula_sum 'Ca1 Pm2 Sc1 As4'
_space_group_name_H-M_alt 'P 1 2/m 1'
_space_group_IT_number 10
_cell_length_a 7.106
_cell_length_b 4.163
_cell_length_c 7.254
_cell_angle_alpha 90.00
_cell_angle_beta 109.61
_cell_angle_gamma 90.00
loop_
_space_group_symop_operation_xyz
'x,y,z'
'-x,-y,-z'
'-x,y,-z'
'x,-y,z'
loop_
_atom_site_label
_atom_site_fract_x
_atom_site_fract_y
_atom_site_fract_z
Ca1 0.000 0.000 0.000
Pm1 0.500 0.000 0.500
Pm2 0.500 0.500 0.000
Sc1 0.000 0.500 0.500
As1 0.235 0.000 0.735
As2 0.242 0.500 0.259
```

Properties
- D(E_F) (states/eV/atom) = 0.54
- ΔH_f (0 K) (meV per atom) = -1292
- electronic total energy (eV per formula unit) = -46.77

Entry 9:
Compound: YH2PtF
Source: the Alexandria database
Functional: PBE-GGA
Structure: relaxed

CIF file:
```
data_YH2PtF
_chemical_formula_sum 'Y1 H2 Pt1 F1'
_space_group_name_H-M_alt 'P 4/m m m'
_space_group_IT_number 123
_space_group_name_Hall '-P 4 2'
_cell_length_a 4.153
_cell_length_b 4.153
_cell_length_c 4.208
_cell_angle_alpha 90.00
_cell_angle_beta 90.00
_cell_angle_gamma 90.00
loop_
_atom_site_label
_atom_site_fract_x
_atom_site_fract_y
_atom_site_fract_z
Y1 0.000 0.000 0.000
H1 0.000 0.500 0.500
Pt1 0.500 0.500 0.000
F1 0.000 0.000 0.500
```

Properties
- D(E_F) (states/eV/atom) = 0.40
- electronic total energy (eV per formula unit) = -22.65

Entry 10:
Compound: Ho4Ag2Au
Source: the Alexandria database
Functional: PBE-GGA
Structure: relaxed

CIF file:
```
data_Ho4Ag2Au
_chemical_formula_sum 'Ho12 Ag6 Au3'
_space_group_name_H-M_alt 'R -3 m'
_space_group_IT_number 166
_space_group_name_Hall '-R 3 2"'
_cell_length_a 5.0470
_cell_length_b 5.0470
_cell_length_c 24.8086
_cell_angle_alpha 90.00
_cell_angle_beta 90.00
_cell_angle_gamma 120.00
loop_
_atom_site_label
_atom_site_fract_x
_atom_site_fract_y
_atom_site_fract_z
Ho1 0.0000 0.0000 0.1247
Ho2 0.0000 0.0000 0.3748
Ag1 0.0000 0.0000 0.2526
Au1 0.0000 0.0000 0.5000
```

Properties
- D(E_F) (states/eV/atom) = 0.76
- ΔH_f (0 K) (meV per atom) = -334
- electronic total energy (eV per formula unit) = -29.63

Question: electronic total energy of number 3 (K2HfMgTe4)?
Answer: -33.86 eV per formula unit

Question: What is the electronic total energy in the fourth record?
Answer: -71.63 eV per formula unit